AgPt2Cl: optimized geometry, PBE.

As for the excess energy over the best structure of this formula in the dataset: 66 meV per atom. Its total moment is 0.00 μB/f.u. As for the crystal system: trigonal. The mass density is 12.23 g/cm³.

It has space group R3m (No. 160, hexagonal axes), with a = 3.2335 Å, b = 3.2335 Å, c = 23.9994 Å, α = 90.00°, β = 90.00° and γ = 120.00°. The distinct sites, in fractional coordinates, are Ag at (0.0000, 0.0000, 0.0000), Pt at (0.0000, 0.0000, 0.2464), Pt at (0.0000, 0.0000, 0.5049) and Cl at (0.0000, 0.0000, 0.7589).



AgPt2Cl: optimized geometry, PBE.

As for the excess energy over the best structure of this formula in the dataset: 132 meV per atom. Its total moment is 1.03 μB/f.u. As for the crystal system: tetragonal. The mass density is 12.69 g/cm³.

It has space group P4mm (No. 99), with a = 3.002 Å, b = 3.002 Å, c = 7.746 Å, α = 90.00°, β = 90.00° and γ = 90.00°. The distinct sites, in fractional coordinates, are Ag at (0.000, 0.000, 0.000), Pt at (0.000, 0.000, 0.525), Pt at (0.500, 0.500, 0.749) and Cl at (0.500, 0.500, 0.268).



Ag2PtCl: optimized geometry, PBE.

As for the excess energy over the best structure of this formula in the dataset: 342 meV per atom. Its total moment is 0.06 μB/f.u. As for the crystal system: cubic. The mass density is 10.26 g/cm³.

It has space group F-43m (No. 216), with a = 6.611 Å, b = 6.611 Å, c = 6.611 Å, α = 90.00°, β = 90.00° and γ = 90.00°. The distinct sites, in fractional coordinates, are Ag at (0.000, 0.000, 0.000), Ag at (0.250, 0.250, 0.250), Pt at (0.000, 0.000, 0.500) and Cl at (0.250, 0.250, 0.750).



AgPtCl3: optimized geometry, PBE.

As for the excess energy over the best structure of this formula in the dataset: 1009 meV per atom. Its total moment is 1.25 μB/f.u. As for the crystal system: cubic. The mass density is 5.53 g/cm³.

It has space group Pm-3m (No. 221), with a = 4.972 Å, b = 4.972 Å, c = 4.972 Å, α = 90.00°, β = 90.00° and γ = 90.00°. The distinct sites, in fractional coordinates, are Ag at (0.000, 0.000, 0.000), Pt at (0.500, 0.500, 0.500) and Cl at (0.000, 0.000, 0.500).



AgPtCl3: optimized geometry, PBE.

As for the excess energy over the best structure of this formula in the dataset: 30 meV per atom. Its total moment is 0.00 μB/f.u. As for the crystal system: triclinic. The mass density is 5.02 g/cm³.

It has space group P1 (No. 1), with a = 4.175 Å, b = 8.227 Å, c = 8.232 Å, α = 103.09°, β = 96.33° and γ = 96.27°. The distinct sites, in fractional coordinates, are Ag at (0.000, 0.000, 0.000), Ag at (0.008, 0.234, 0.769), Pt at (0.175, 0.785, 0.552), Pt at (0.852, 0.450, 0.216), Cl at (0.022, 0.495, 0.504), Cl at (0.025, 0.738, 0.262), Cl at (0.327, 0.810, 0.835), Cl at (0.330, 0.068, 0.578), Cl at (0.682, 0.168, 0.192) and Cl at (0.685, 0.425, 0.934).



AgPt2Cl: optimized geometry, PBE.

As for the excess energy over the best structure of this formula in the dataset: 303 meV per atom. Its total moment is 0.00 μB/f.u. As for the crystal system: tetragonal. The mass density is 12.05 g/cm³.

It has space group I-42d (No. 122), with a = 3.814 Å, b = 3.814 Å, c = 20.209 Å, α = 90.00°, β = 90.00° and γ = 90.00°. The distinct sites, in fractional coordinates, are Ag at (0.000, 0.000, 0.000), Pt at (0.246, 0.250, 0.125) and Cl at (0.000, 0.000, 0.500).



Rb2AgPtCl6: optimized geometry, PBE.

Its total moment is 0.47 μB/f.u. As for the crystal system: trigonal. The mass density is 4.05 g/cm³.

It has space group R-3m (No. 166, hexagonal axes), with a = 7.1804 Å, b = 7.1804 Å, c = 37.7824 Å, α = 90.00°, β = 90.00° and γ = 120.00°. The distinct sites, in fractional coordinates, are Rb at (0.0000, 0.0000, 0.1232), Rb at (0.0000, 0.0000, 0.2987), Ag at (0.0000, 0.0000, 0.4120), Pt at (0.0000, 0.0000, 0.0000), Pt at (0.0000, 0.0000, 0.5000), Cl at (0.0122, 0.5061, 0.1295) and Cl at (0.0127, 0.5063, 0.7045).



Ag2RuPtCl: optimized geometry, PBE.

Its total moment is 0.92 μB/f.u. As for the crystal system: tetragonal. The mass density is 9.30 g/cm³.

It has space group P4/mmm (No. 123), with a = 4.730 Å, b = 4.730 Å, c = 4.368 Å, α = 90.00°, β = 90.00° and γ = 90.00°. The distinct sites, in fractional coordinates, are Ag at (0.000, 0.500, 0.000), Ru at (0.000, 0.000, 0.500), Pt at (0.500, 0.500, 0.500) and Cl at (0.000, 0.000, 0.000).



no.,E_form (uncorrected) (meV per atom)
1,191
2,257
3,372
4,604
5,-374
6,429
7,-1039
8,1107